# PBE-GGA TeMoP, relaxed
# - Crystal system: cubic
# - Raw formation energy: 31.4 kJ/mol of atoms
data_TeMoP
_chemical_formula_sum 'Te4 Mo4 P4'
_cell_length_a 6.3681
_cell_length_b 6.3681
_cell_length_c 6.3681
_cell_angle_alpha 90.00
_cell_angle_beta 90.00
_cell_angle_gamma 90.00
_space_group_name_H-M_alt 'P 1'
_space_group_IT_number 1
loop_
_space_group_symop_operation_xyz
'x,y,z'
loop_
_atom_site_label
_atom_site_fract_x
_atom_site_fract_y
_atom_site_fract_z
Te1 0.0000 0.0000 0.0000
Te2 0.0000 0.5000 0.5000
Te3 0.5000 0.0000 0.5000
Te4 0.5000 0.5000 0.0000
Mo1 0.2500 0.2500 0.2500
Mo2 0.2500 0.7500 0.7500
Mo3 0.7500 0.2500 0.7500
Mo4 0.7500 0.7500 0.2500
P1 0.0000 0.0000 0.5000
P2 0.0000 0.5000 0.0000
P3 0.5000 0.0000 0.0000
P4 0.5000 0.5000 0.5000

# PBE-GGA TlReHg2, relaxed
# - Crystal system: orthorhombic
# - Energy of formation: 0.7497 eV/atom
data_TlReHg2
_chemical_formula_sum 'Tl2 Re2 Hg4'
_cell_length_a 3.0399
_cell_length_b 5.1201
_cell_length_c 11.3287
_cell_angle_alpha 90.00
_cell_angle_beta 90.00
_cell_angle_gamma 90.00
_space_group_name_H-M_alt 'P 1'
_space_group_IT_number 1
loop_
_space_group_symop_operation_xyz
'x,y,z'
loop_
_atom_site_label
_atom_site_fract_x
_atom_site_fract_y
_atom_site_fract_z
Tl1 0.0000 0.0000 0.0000
Tl2 0.5000 0.5000 0.0000
Re1 0.0000 0.0000 0.5000
Re2 0.5000 0.5000 0.5000
Hg1 0.0000 0.5000 0.2815
Hg2 0.0000 0.5000 0.7185
Hg3 0.5000 0.0000 0.2815
Hg4 0.5000 0.0000 0.7185

# PBE-GGA Y3ScZn2, relaxed
# - Crystal system: orthorhombic
# - Energy of formation: -0.2417 eV/atom
data_Y3ScZn2
_chemical_formula_sum 'Y6 Sc2 Zn4'
_cell_length_a 5.0222
_cell_length_b 9.0408
_cell_length_c 6.5129
_cell_angle_alpha 90.00
_cell_angle_beta 90.00
_cell_angle_gamma 90.00
_space_group_name_H-M_alt 'P 1'
_space_group_IT_number 1
loop_
_space_group_symop_operation_xyz
'x,y,z'
loop_
_atom_site_label
_atom_site_fract_x
_atom_site_fract_y
_atom_site_fract_z
Y1 0.0000 0.0516 0.0000
Y2 0.0000 0.3375 0.3357
Y3 0.0000 0.6625 0.8357
Y4 0.0000 0.9484 0.5000
Y5 0.5000 0.1837 0.6827
Y6 0.5000 0.8163 0.1827
Sc1 0.5000 0.4459 0.0293
Sc2 0.5000 0.5541 0.5293
Zn1 0.0000 0.3470 0.8001
Zn2 0.0000 0.6530 0.3001
Zn3 0.5000 0.1552 0.2274
Zn4 0.5000 0.8448 0.7274

| no. | calculated total energy (eV/atom) |
| --- | --- |
| 1 | -6.14 |
| 2 | -3.10 |
| 3 | -4.95 |